# 1
Here is an optimized crystal structure of SrCdIn2Pd from Alexandria via LeMat-Bulk. Energies are from PBE.

Energy above the lowest structure with this stoichiometry: 0.042 eV per atom
Volume: 31.18 Å³ per atom

Cell: 5.2138 5.2138 5.7344 Å, 90.00 90.00 90.00°
Element x y z (fractional)
Sr  0.0000  0.0000  0.0000
Cd  0.5000  0.5000  0.0000
In  0.0000  0.5000  0.5000
In  0.5000  0.0000  0.5000
Pd  0.0000  0.0000  0.5000

# 2
Here is an optimized crystal structure of Sr2CdIn4Pd3 from Alexandria via LeMat-Bulk. Energies are from PBE.

Volume: 24.72 Å³ per atom

Cell: 4.5399 4.5399 11.9927 Å, 90.00 90.00 90.00°
Element x y z (fractional)
Sr  0.0000  0.5000  0.2424
Sr  0.5000  0.0000  0.7576
Cd  0.0000  0.0000  0.5000
In  0.0000  0.0000  0.0000
In  0.0000  0.5000  0.6418
In  0.5000  0.0000  0.3582
In  0.5000  0.5000  0.0000
Pd  0.0000  0.5000  0.8671
Pd  0.5000  0.0000  0.1329
Pd  0.5000  0.5000  0.5000

# 3
Here is an optimized crystal structure of Sr2CdIn6Pd from Alexandria via LeMat-Bulk. Energies are from PBE.

Volume: 31.76 Å³ per atom

Cell: 7.6584 7.6584 7.6584 Å, 60.00 60.00 60.00°
Element x y z (fractional)
Sr  0.2500  0.2500  0.2500
Sr  0.7500  0.7500  0.7500
Cd  0.0000  0.0000  0.0000
In  0.2568  0.2568  0.7432
In  0.2568  0.7432  0.2568
In  0.2568  0.7432  0.7432
In  0.7432  0.2568  0.2568
In  0.7432  0.2568  0.7432
In  0.7432  0.7432  0.2568
Pd  0.5000  0.5000  0.5000

# 4
Here is an optimized crystal structure of Sr2CdIn2Pd5 from Alexandria via LeMat-Bulk. Energies are from PBE.

Volume: 21.57 Å³ per atom

Cell: 10.8830 10.8830 3.6419 Å, 90.00 90.00 90.00°
Element x y z (fractional)
Sr  0.1722  0.3278  0.0000
Sr  0.3278  0.8278  0.0000
Sr  0.6722  0.1722  0.0000
Sr  0.8278  0.6722  0.0000
Cd  0.0000  0.0000  0.0000
Cd  0.5000  0.5000  0.0000
In  0.1287  0.6287  0.0000
In  0.3713  0.1287  0.0000
In  0.6287  0.8713  0.0000
In  0.8713  0.3713  0.0000
Pd  0.0000  0.5000  0.5000
Pd  0.0584  0.8059  0.5000
Pd  0.1941  0.0584  0.5000
Pd  0.3059  0.5584  0.5000
Pd  0.4416  0.3059  0.5000
Pd  0.5000  0.0000  0.5000
Pd  0.5584  0.6941  0.5000
Pd  0.6941  0.4416  0.5000
Pd  0.8059  0.9416  0.5000
Pd  0.9416  0.1941  0.5000

# 5
Here is an optimized crystal structure of Sr2CdInPd6 from Alexandria via LeMat-Bulk. Energies are from PBE.

Volume: 25.63 Å³ per atom

Cell: 7.1297 7.1297 7.1297 Å, 60.00 60.00 60.00°
Element x y z (fractional)
Sr  0.2500  0.2500  0.2500
Sr  0.7500  0.7500  0.7500
Cd  0.0000  0.0000  0.0000
In  0.5000  0.5000  0.5000
Pd  0.2514  0.2514  0.7486
Pd  0.2514  0.7486  0.2514
Pd  0.2514  0.7486  0.7486
Pd  0.7486  0.2514  0.2514
Pd  0.7486  0.2514  0.7486
Pd  0.7486  0.7486  0.2514

# 6
Here is an optimized crystal structure of ThCdInPd from Alexandria via LeMat-Bulk. Energies are from PBE.

Energy above the lowest structure with this stoichiometry: 0.154 eV per atom
Volume: 24.50 Å³ per atom

Cell: 4.2029 4.2029 11.0963 Å, 90.00 90.00 90.00°
Element x y z (fractional)
Th  0.2500  0.2500  0.1848
Th  0.7500  0.7500  0.8152
Cd  0.2500  0.7500  0.5000
Cd  0.7500  0.2500  0.5000
In  0.2500  0.2500  0.6801
In  0.7500  0.7500  0.3199
Pd  0.2500  0.2500  0.9286
Pd  0.7500  0.7500  0.0714

# 7
Here is an optimized crystal structure of ThCdInPd from Alexandria via LeMat-Bulk. Energies are from PBE.

Energy above the lowest structure with this stoichiometry: 0.000 eV per atom
Volume: 23.06 Å³ per atom

Cell: 7.1727 7.1727 7.1727 Å, 90.00 90.00 90.00°
Element x y z (fractional)
Th  0.0000  0.0000  0.0000
Th  0.0000  0.5000  0.5000
Th  0.5000  0.0000  0.5000
Th  0.5000  0.5000  0.0000
Cd  0.2500  0.2500  0.7500
Cd  0.2500  0.7500  0.2500
Cd  0.7500  0.2500  0.2500
Cd  0.7500  0.7500  0.7500
In  0.0000  0.0000  0.5000
In  0.0000  0.5000  0.0000
In  0.5000  0.0000  0.0000
In  0.5000  0.5000  0.5000
Pd  0.2500  0.2500  0.2500
Pd  0.2500  0.7500  0.7500
Pd  0.7500  0.2500  0.7500
Pd  0.7500  0.7500  0.2500

# 8
Here is an optimized crystal structure of Tm4CdIn2Pd from Alexandria via LeMat-Bulk. Energies are from PBE.

Volume: 24.35 Å³ per atom

Cell: 8.9003 8.9003 8.9003 Å, 33.84 33.84 33.84°
Element x y z (fractional)
Tm  0.1183  0.1183  0.1183
Tm  0.3704  0.3704  0.3704
Tm  0.6296  0.6296  0.6296
Tm  0.8817  0.8817  0.8817
Cd  0.5000  0.5000  0.5000
In  0.2456  0.2456  0.2456
In  0.7544  0.7544  0.7544
Pd  0.0000  0.0000  0.0000

# 9
Here is an optimized crystal structure of TmCdInPd from Alexandria via LeMat-Bulk. Energies are from PBE.

Volume: 20.80 Å³ per atom

Cell: 6.9297 6.9297 6.9297 Å, 90.00 90.00 90.00°
Element x y z (fractional)
Tm  0.0000  0.0000  0.0000
Tm  0.0000  0.5000  0.5000
Tm  0.5000  0.0000  0.5000
Tm  0.5000  0.5000  0.0000
Cd  0.2500  0.2500  0.2500
Cd  0.2500  0.7500  0.7500
Cd  0.7500  0.2500  0.7500
Cd  0.7500  0.7500  0.2500
In  0.0000  0.0000  0.5000
In  0.0000  0.5000  0.0000
In  0.5000  0.0000  0.0000
In  0.5000  0.5000  0.5000
Pd  0.2500  0.2500  0.7500
Pd  0.2500  0.7500  0.2500
Pd  0.7500  0.2500  0.2500
Pd  0.7500  0.7500  0.7500

# 10
Here is an optimized crystal structure of YCdInPd from Alexandria via LeMat-Bulk. Energies are from PBE.

Volume: 21.34 Å³ per atom

Cell: 6.9898 6.9898 6.9898 Å, 90.00 90.00 90.00°
Element x y z (fractional)
Y  0.0000  0.0000  0.0000
Y  0.0000  0.5000  0.5000
Y  0.5000  0.0000  0.5000
Y  0.5000  0.5000  0.0000
Cd  0.2500  0.2500  0.2500
Cd  0.2500  0.7500  0.7500
Cd  0.7500  0.2500  0.7500
Cd  0.7500  0.7500  0.2500
In  0.0000  0.0000  0.5000
In  0.0000  0.5000  0.0000
In  0.5000  0.0000  0.0000
In  0.5000  0.5000  0.5000
Pd  0.2500  0.2500  0.7500
Pd  0.2500  0.7500  0.2500
Pd  0.7500  0.2500  0.2500
Pd  0.7500  0.7500  0.7500

# 11
Here is an optimized crystal structure of ZnCd2InPd from Alexandria via LeMat-Bulk. Energies are from PBE.

Volume: 30.27 Å³ per atom

Cell: 5.4467 5.4467 5.1016 Å, 90.00 90.00 90.00°
Element x y z (fractional)
Zn  0.0000  0.0000  0.0000
Cd  0.0000  0.5000  0.5000
Cd  0.5000  0.0000  0.5000
In  0.5000  0.5000  0.5000
Pd  0.5000  0.5000  0.0000

# 12
Here is an optimized crystal structure of ZnCd2In2Pd5 from Alexandria via LeMat-Bulk. Energies are from PBE.

Volume: 18.06 Å³ per atom

Cell: 10.9064 10.9064 3.0373 Å, 90.00 90.00 90.00°
Element x y z (fractional)
Zn  0.0000  0.0000  0.0000
Zn  0.5000  0.5000  0.0000
Cd  0.1573  0.3427  0.0000
Cd  0.3427  0.8427  0.0000
Cd  0.6573  0.1573  0.0000
Cd  0.8427  0.6573  0.0000
In  0.1536  0.6536  0.0000
In  0.3464  0.1536  0.0000
In  0.6536  0.8464  0.0000
In  0.8464  0.3464  0.0000
Pd  0.0000  0.5000  0.5000
Pd  0.0062  0.8049  0.5000
Pd  0.1951  0.0062  0.5000
Pd  0.3049  0.5062  0.5000
Pd  0.4938  0.3049  0.5000
Pd  0.5000  0.0000  0.5000
Pd  0.5062  0.6951  0.5000
Pd  0.6951  0.4938  0.5000
Pd  0.8049  0.9938  0.5000
Pd  0.9938  0.1951  0.5000

# 13
Here is an optimized crystal structure of Zn2CdIn2Pd5 from Alexandria via LeMat-Bulk. Energies are from PBE.

Volume: 17.23 Å³ per atom

Cell: 9.4564 9.4564 3.8544 Å, 90.00 90.00 90.00°
Element x y z (fractional)
Zn  0.1253  0.3747  0.0000
Zn  0.3747  0.8747  0.0000
Zn  0.6253  0.1253  0.0000
Zn  0.8747  0.6253  0.0000
Cd  0.0000  0.0000  0.0000
Cd  0.5000  0.5000  0.0000
In  0.1714  0.6714  0.0000
In  0.3286  0.1714  0.0000
In  0.6714  0.8286  0.0000
In  0.8286  0.3286  0.0000
Pd  0.0000  0.5000  0.5000
Pd  0.0899  0.1962  0.5000
Pd  0.1962  0.9101  0.5000
Pd  0.3038  0.4101  0.5000
Pd  0.4101  0.6962  0.5000
Pd  0.5000  0.0000  0.5000
Pd  0.5899  0.3038  0.5000
Pd  0.6962  0.5899  0.5000
Pd  0.8038  0.0899  0.5000
Pd  0.9101  0.8038  0.5000

# 14
Here is an optimized crystal structure of Zn2Cd2InPd5 from Alexandria via LeMat-Bulk. Energies are from PBE.

Volume: 17.11 Å³ per atom

Cell: 9.4726 9.4726 3.8141 Å, 90.00 90.00 90.00°
Element x y z (fractional)
Zn  0.1258  0.3742  0.0000
Zn  0.3742  0.8742  0.0000
Zn  0.6258  0.1258  0.0000
Zn  0.8742  0.6258  0.0000
Cd  0.1705  0.6705  0.0000
Cd  0.3295  0.1705  0.0000
Cd  0.6705  0.8295  0.0000
Cd  0.8295  0.3295  0.0000
In  0.0000  0.0000  0.0000
In  0.5000  0.5000  0.0000
Pd  0.0000  0.5000  0.5000
Pd  0.0841  0.1971  0.5000
Pd  0.1971  0.9159  0.5000
Pd  0.3029  0.4159  0.5000
Pd  0.4159  0.6971  0.5000
Pd  0.5000  0.0000  0.5000
Pd  0.5841  0.3029  0.5000
Pd  0.6971  0.5841  0.5000
Pd  0.8029  0.0841  0.5000
Pd  0.9159  0.8029  0.5000

# 15
Here is an optimized crystal structure of ZnCd2In2Pd4 from Alexandria via LeMat-Bulk. Energies are from PBE.

Volume: 19.09 Å³ per atom

Cell: 6.1557 6.1557 6.1557 Å, 116.91 116.91 95.43°
Element x y z (fractional)
Zn  0.0000  0.0000  0.0000
Cd  0.2986  0.2986  0.0000
Cd  0.7014  0.7014  0.0000
In  0.2500  0.7500  0.5000
In  0.7500  0.2500  0.5000
Pd  0.2635  0.2635  0.5270
Pd  0.2635  0.7365  0.0000
Pd  0.7365  0.2635  0.0000
Pd  0.7365  0.7365  0.4730

# 16
Here is an optimized crystal structure of Pm5CdIn4 from Alexandria via LeMat-Bulk. Energies are from PBE.

Volume: 28.48 Å³ per atom

Cell: 3.8359 3.8359 19.3530 Å, 90.00 90.00 90.00°
Element x y z (fractional)
Pm  0.0000  0.0000  0.0000
Pm  0.0000  0.0000  0.2004
Pm  0.0000  0.0000  0.4013
Pm  0.0000  0.0000  0.5987
Pm  0.0000  0.0000  0.7996
Cd  0.5000  0.5000  0.5000
In  0.5000  0.5000  0.1001
In  0.5000  0.5000  0.3022
In  0.5000  0.5000  0.6978
In  0.5000  0.5000  0.8999

# 17
Here is an optimized crystal structure of Pm2Cd3In3 from Alexandria via LeMat-Bulk. Energies are from PBE.

Volume: 25.37 Å³ per atom

Cell: 4.6041 4.6587 9.4605 Å, 90.00 90.00 90.00°
Element x y z (fractional)
Pm  0.0000  0.0000  0.2473
Pm  0.0000  0.0000  0.7527
Cd  0.0000  0.5000  0.0000
Cd  0.0000  0.5000  0.5000
Cd  0.5000  0.0000  0.5000
In  0.5000  0.0000  0.0000
In  0.5000  0.5000  0.2541
In  0.5000  0.5000  0.7459

# 18
Here is an optimized crystal structure of Pm2Cd3In3 from Alexandria via LeMat-Bulk. Energies are from PBE.

Volume: 25.35 Å³ per atom

Cell: 4.6540 4.7226 9.2272 Å, 90.00 90.00 90.00°
Element x y z (fractional)
Pm  0.0000  0.0000  0.2492
Pm  0.0000  0.0000  0.7508
Cd  0.0000  0.5000  0.5000
Cd  0.5000  0.5000  0.2536
Cd  0.5000  0.5000  0.7464
In  0.0000  0.5000  0.0000
In  0.5000  0.0000  0.0000
In  0.5000  0.0000  0.5000

# 19
Here is an optimized crystal structure of Pm3CdIn2 from Alexandria via LeMat-Bulk. Energies are from PBE.

Energy above the lowest structure with this stoichiometry: 0.007 eV per atom
Volume: 28.44 Å³ per atom

Cell: 3.7994 3.7994 11.8226 Å, 90.00 90.00 90.00°
Element x y z (fractional)
Pm  0.0000  0.0000  0.0000
Pm  0.0000  0.0000  0.3367
Pm  0.0000  0.0000  0.6633
Cd  0.5000  0.5000  0.5000
In  0.5000  0.5000  0.1712
In  0.5000  0.5000  0.8288

# 20
Here is an optimized crystal structure of Pm3Cd5In from Alexandria via LeMat-Bulk. Energies are from PBE.

Volume: 25.98 Å³ per atom

Cell: 9.1272 9.1272 6.4829 Å, 90.00 90.00 120.00°
Element x y z (fractional)
Pm  0.0000  0.3223  0.2500
Pm  0.0000  0.6777  0.7500
Pm  0.3223  0.0000  0.2500
Pm  0.3223  0.3223  0.7500
Pm  0.6777  0.0000  0.7500
Pm  0.6777  0.6777  0.2500
Cd  0.0000  0.3465  0.7500
Cd  0.0000  0.6535  0.2500
Cd  0.3333  0.6667  0.0000
Cd  0.3333  0.6667  0.5000
Cd  0.3465  0.0000  0.7500
Cd  0.3465  0.3465  0.2500
Cd  0.6535  0.0000  0.2500
Cd  0.6535  0.6535  0.7500
Cd  0.6667  0.3333  0.0000
Cd  0.6667  0.3333  0.5000
In  0.0000  0.0000  0.0000
In  0.0000  0.0000  0.5000

# 21
Here is an optimized crystal structure of Pm3Cd2In from Alexandria via LeMat-Bulk. Energies are from PBE.

Energy above the lowest structure with this stoichiometry: 0.000 eV per atom
Volume: 28.36 Å³ per atom

Cell: 5.4168 16.3362 3.8458 Å, 90.00 90.00 90.00°
Element x y z (fractional)
Pm  0.0000  0.0000  0.0000
Pm  0.0000  0.3337  0.0000
Pm  0.0000  0.6663  0.0000
Pm  0.5000  0.1663  0.0000
Pm  0.5000  0.5000  0.0000
Pm  0.5000  0.8337  0.0000
Cd  0.0000  0.1688  0.5000
Cd  0.0000  0.8312  0.5000
Cd  0.5000  0.3312  0.5000
Cd  0.5000  0.6688  0.5000
In  0.0000  0.5000  0.5000
In  0.5000  0.0000  0.5000

# 22
Here is an optimized crystal structure of PmCdIn4 from Alexandria via LeMat-Bulk. Energies are from PBE.

Volume: 26.99 Å³ per atom

Cell: 6.1182 6.1182 6.1182 Å, 60.00 60.00 60.00°
Element x y z (fractional)
Pm  0.0000  0.0000  0.0000
Cd  0.7500  0.7500  0.7500
In  0.3749  0.3749  0.3749
In  0.3749  0.3749  0.8752
In  0.3749  0.8752  0.3749
In  0.8752  0.3749  0.3749

| no. | DFT formation energy (eV per atom) |
| --- | --- |
| 1 | -0.266 |
| 2 | -0.512 |
| 3 | -0.104 |
| 4 | -0.489 |
| 5 | -0.060 |
| 6 | -0.266 |
| 7 | -0.420 |
| 8 | -0.521 |
| 9 | -0.518 |
| 10 | -0.538 |
| 11 | 0.543 |
| 12 | -0.342 |
| 13 | -0.367 |
| 14 | -0.395 |
| 15 | -0.152 |
| 16 | -0.461 |
| 17 | -0.391 |
| 18 | -0.391 |
| 19 | -0.439 |
| 20 | -0.335 |
| 21 | -0.377 |
| 22 | -0.091 |